CaPr8Bi6: optimized geometry, PBE-GGA.

Its calculated volume is 36.02 Å³ per atom. Its magnetization is 0.00 μB per cell. The energy relative to the elements comes out at -9.63 eV per formula unit.

The structure belongs to space group R-3 (No. 148, hexagonal axes); the cell edges are 9.6285, 9.6285 and 20.1901 Å and the angles 90.00°, 90.00° and 120.00°. Symmetry generates all atoms from Ca at (0.0000, 0.0000, 0.0000), Pr at (0.0000, 0.0000, 0.3317), Pr at (0.0015, 0.6869, 0.0991) and Bi at (0.0001, 0.3518, 0.0720).


ScFe2BRh: optimized geometry, PBE-GGA.

Its calculated volume is 12.77 Å³ per atom. Its magnetization is 2.98 μB per cell. The energy relative to the elements comes out at -1.89 eV per formula unit.

The structure belongs to space group P4/mmm (No. 123); the cell edges are 3.915, 3.915 and 4.165 Å and the angles 90.00°, 90.00° and 90.00°. Symmetry generates all atoms from Sc at (0.000, 0.000, 0.000), Fe at (0.000, 0.500, 0.500), B at (0.500, 0.500, 0.500) and Rh at (0.500, 0.500, 0.000).


AcPmNi2H8: optimized geometry, PBE-GGA.

Its calculated volume is 10.46 Å³ per atom. As for the uncorrected energy: -152.97 eV/cell. Its magnetization is 0.00 μB per cell.

The structure belongs to space group R-3m (No. 166, hexagonal axes); the cell edges are 4.5530, 4.5530 and 20.9811 Å and the angles 90.00°, 90.00° and 120.00°. Symmetry generates all atoms from Ac at (0.0000, 0.0000, 0.0000), Pm at (0.0000, 0.0000, 0.5000), Ni at (0.0000, 0.0000, 0.2487), H at (0.0000, 0.0000, 0.3248) and H at (0.0348, 0.5174, 0.5547).


Nd5DyAs6: optimized geometry, PBE-GGA.

Its calculated volume is 27.11 Å³ per atom. Its magnetization is 0.00 μB per cell. The energy relative to the elements comes out at -18.14 eV per formula unit.

The structure belongs to space group C2/m (No. 12); the cell edges are 7.360, 12.743 and 7.358 Å and the angles 90.00°, 109.49° and 90.00°. Symmetry generates all atoms from Nd at (0.000, 0.000, 0.000), Nd at (0.000, 0.166, 0.500), Nd at (0.000, 0.332, 0.000), Dy at (0.000, 0.500, 0.500), As at (0.246, 0.336, 0.747) and As at (0.246, 0.500, 0.253).


Hf2BeV: optimized geometry, PBE-GGA.

Its calculated volume is 17.31 Å³ per atom. Its magnetization is 0.00 μB per cell. The energy relative to the elements comes out at 2.22 eV per formula unit.

The structure belongs to space group I-42d (No. 122); the cell edges are 7.137, 7.137 and 5.438 Å and the angles 90.00°, 90.00° and 90.00°. Symmetry generates all atoms from Hf at (0.231, 0.250, 0.125), Be at (0.000, 0.000, 0.000) and V at (0.000, 0.000, 0.500).


Tl3CrPb2S6: optimized geometry, PBE-GGA.

Its calculated volume is 24.89 Å³ per atom. Its magnetization is 2.70 μB per cell. The uncorrected formation energy is -479 kJ/mol of formula units.

The structure belongs to space group C2/m (No. 12); the cell edges are 6.993, 12.017 and 7.465 Å and the angles 90.00°, 107.80° and 90.00°. Symmetry generates all atoms from Tl at (0.000, 0.000, 0.000), Tl at (0.000, 0.329, 0.000), Cr at (0.000, 0.500, 0.500), Pb at (0.000, 0.166, 0.500), S at (0.206, 0.360, 0.693) and S at (0.215, 0.500, 0.294).


Mn2MoCl: optimized geometry, PBE-GGA.

Its calculated volume is 14.70 Å³ per atom. Its magnetization is 22.70 μB per cell. The uncorrected formation energy is 302 kJ/mol of formula units.

The structure belongs to space group F-43m (No. 216); the cell edges are 6.172, 6.172 and 6.172 Å and the angles 90.00°, 90.00° and 90.00°. Symmetry generates all atoms from Mn at (0.000, 0.000, 0.000), Mn at (0.250, 0.250, 0.250), Mo at (0.000, 0.000, 0.500) and Cl at (0.250, 0.250, 0.750).


LaTa2Se: optimized geometry, PBE-GGA.

Its calculated volume is 21.86 Å³ per atom. Its magnetization is 0.00 μB per cell. The uncorrected formation energy is 26 kJ/mol of formula units.

The structure belongs to space group P2/m (No. 10); the cell edges are 3.597, 5.178 and 4.696 Å and the angles 90.00°, 91.72° and 90.00°. Symmetry generates all atoms from La at (0.000, 0.000, 0.000), Ta at (0.290, 0.500, 0.756) and Se at (0.500, 0.000, 0.500).


Tb3Te2Pd: optimized geometry, PBE-GGA.

Its calculated volume is 28.36 Å³ per atom. Its magnetization is 0.00 μB per cell. The uncorrected formation energy is -666 kJ/mol of formula units.

The structure belongs to space group C2/m (No. 12); the cell edges are 7.328, 12.743 and 7.701 Å and the angles 90.00°, 108.84° and 90.00°. Symmetry generates all atoms from Tb at (0.215, 0.000, 0.221), Tb at (0.244, 0.178, 0.772), Te at (0.000, 0.000, 0.500), Te at (0.000, 0.344, 0.500), Te at (0.000, 0.500, 0.000) and Pd at (0.000, 0.170, 0.000).


AcTbHg: optimized geometry, PBE-GGA.

Its calculated volume is 32.69 Å³ per atom. Its magnetization is 0.92 μB per cell. The energy relative to the elements comes out at -0.87 eV per formula unit.

The structure belongs to space group I4mm (No. 107); the cell edges are 3.868, 3.868 and 13.110 Å and the angles 90.00°, 90.00° and 90.00°. Symmetry generates all atoms from Ac at (0.000, 0.000, 0.000), Tb at (0.000, 0.000, 0.298) and Hg at (0.000, 0.000, 0.677).


MnReCl2: optimized geometry, PBE-GGA.

Its calculated volume is 17.23 Å³ per atom. Its magnetization is 5.58 μB per cell. The uncorrected formation energy is 273 kJ/mol of formula units.

The structure belongs to space group Pmmm (No. 47); the cell edges are 2.878, 4.217 and 5.677 Å and the angles 90.00°, 90.00° and 90.00°. Symmetry generates all atoms from Mn at (0.000, 0.000, 0.000), Re at (0.500, 0.000, 0.500), Cl at (0.000, 0.500, 0.500) and Cl at (0.500, 0.500, 0.000).


Ca2Ac6Tb: optimized geometry, PBE-GGA.

Its calculated volume is 43.24 Å³ per atom. Its magnetization is 0.01 μB per cell. The energy relative to the elements comes out at 0.75 eV per formula unit.

The structure belongs to space group P-6m2 (No. 187); the cell edges are 3.9167, 3.9167 and 29.2946 Å and the angles 90.00°, 90.00° and 120.00°. Symmetry generates all atoms from Ca at (0.0000, 0.0000, 0.1734), Ac at (0.0000, 0.0000, 0.3977), Ac at (0.6667, 0.3333, 0.0638), Ac at (0.6667, 0.3333, 0.2855) and Tb at (0.6667, 0.3333, 0.5000).


CsZnCoH6: optimized geometry, PBE-GGA.

Its calculated volume is 12.21 Å³ per atom. As for the uncorrected energy: -30.34 eV/cell. Its magnetization is 0.12 μB per cell.

The structure belongs to space group P312 (No. 149); the cell edges are 4.4825, 4.4825 and 6.3175 Å and the angles 90.00°, 90.00° and 120.00°. Symmetry generates all atoms from Cs at (0.0000, 0.0000, 0.0000), Zn at (0.3333, 0.6667, 0.5000), Co at (0.6667, 0.3333, 0.5000) and H at (0.4000, 0.0539, 0.6496).


GaIrSeBr2: optimized geometry, PBE-GGA.

Its calculated volume is 27.17 Å³ per atom. Its magnetization is 0.00 μB per cell. The uncorrected formation energy is 44 kJ/mol of formula units.

The structure belongs to space group P4/mmm (No. 123); the cell edges are 5.388, 5.388 and 4.681 Å and the angles 90.00°, 90.00° and 90.00°. Symmetry generates all atoms from Ga at (0.000, 0.000, 0.000), Ir at (0.500, 0.500, 0.500), Se at (0.500, 0.500, 0.000) and Br at (0.000, 0.500, 0.500).


YScAl2O: optimized geometry, PBE-GGA.

Its calculated volume is 31.08 Å³ per atom. Its magnetization is 0.00 μB per cell. The uncorrected formation energy is 722 kJ/mol of formula units.

The structure belongs to space group P4/mmm (No. 123); the cell edges are 5.432, 5.432 and 5.267 Å and the angles 90.00°, 90.00° and 90.00°. Symmetry generates all atoms from Y at (0.000, 0.000, 0.000), Sc at (0.000, 0.000, 0.500), Al at (0.000, 0.500, 0.000) and O at (0.500, 0.500, 0.500).


Dy6CdAg5: optimized geometry, PBE-GGA.

Its calculated volume is 24.34 Å³ per atom. Its magnetization is 0.00 μB per cell. The energy relative to the elements comes out at -3.82 eV per formula unit.

The structure belongs to space group Cmmm (No. 65); the cell edges are 5.173, 15.499 and 7.285 Å and the angles 90.00°, 90.00° and 90.00°. Symmetry generates all atoms from Dy at (0.000, 0.000, 0.244), Dy at (0.000, 0.331, 0.248), Cd at (0.000, 0.500, 0.500), Ag at (0.000, 0.162, 0.500), Ag at (0.000, 0.166, 0.000) and Ag at (0.000, 0.500, 0.000).


AlCrGe: optimized geometry, PBE-GGA.

Its calculated volume is 15.21 Å³ per atom. Its magnetization is 0.53 μB per cell. The energy relative to the elements comes out at 0.17 eV per formula unit.

The structure belongs to space group P2_1/c (No. 14); the cell edges are 6.345, 5.115 and 5.971 Å and the angles 90.00°, 109.56° and 90.00°. Symmetry generates all atoms from Al at (0.137, 0.123, 0.389), Cr at (0.172, 0.623, 0.536) and Ge at (0.458, 0.592, 0.290).


PrErSn2: optimized geometry, PBE-GGA.

Its calculated volume is 28.36 Å³ per atom. Its magnetization is 0.01 μB per cell. The energy relative to the elements comes out at -2.19 eV per formula unit.

The structure belongs to space group Fm-3m (No. 225); the cell edges are 7.684, 7.684 and 7.684 Å and the angles 90.00°, 90.00° and 90.00°. Symmetry generates all atoms from Pr at (0.000, 0.000, 0.000), Er at (0.000, 0.000, 0.500) and Sn at (0.250, 0.250, 0.250).


Sc2InOs: optimized geometry, PBE-GGA.

Its calculated volume is 19.53 Å³ per atom. Its magnetization is 0.00 μB per cell. The energy relative to the elements comes out at -2.04 eV per formula unit.

The structure belongs to space group Pmmm (No. 47); the cell edges are 3.300, 3.315 and 7.141 Å and the angles 90.00°, 90.00° and 90.00°. Symmetry generates all atoms from Sc at (0.000, 0.000, 0.213), In at (0.500, 0.500, 0.500) and Os at (0.500, 0.500, 0.000).


HgSb2Br: optimized geometry, PBE-GGA.

Its calculated volume is 28.39 Å³ per atom. Its magnetization is 0.00 μB per cell. The uncorrected formation energy is 32 kJ/mol of formula units.

The structure belongs to space group P4mm (No. 99); the cell edges are 3.781, 3.781 and 7.944 Å and the angles 90.00°, 90.00° and 90.00°. Symmetry generates all atoms from Hg at (0.000, 0.000, 0.000), Sb at (0.000, 0.000, 0.471), Sb at (0.500, 0.500, 0.272) and Br at (0.500, 0.500, 0.752).